Entry 1:
A relaxed structure of Te2PbN2. Source: Alexandria via LeMat-Bulk, functional PBE.

The structure in extended XYZ format:
```
5
Lattice="4.4856 0.0000 0.0000 0.0000 4.4856 0.0000 0.0000 0.0000 6.4751" Properties=species:S:1:pos:R:3 pbc="T T T"
Te 0.0000 0.0000 0.0000
Te 2.2428 2.2428 0.0000
Pb 0.0000 0.0000 3.2376
N 0.0000 2.2428 3.2376
N 2.2428 0.0000 3.2376
```

Values from the calculation:
The space-group type is P4/mmm. The value obtained for the polymorph energy (0 for the lowest one) is 26.92 kJ per mole of atoms.

***

Entry 2:
A relaxed structure of TePbN3. Source: Alexandria via LeMat-Bulk, functional PBE.

The structure in extended XYZ format:
```
5
Lattice="4.2547 0.0000 0.0000 0.0000 4.2547 0.0000 0.0000 0.0000 4.2547" Properties=species:S:1:pos:R:3 pbc="T T T"
Te 0.0000 0.0000 0.0000
Pb 2.1274 2.1274 2.1274
N 0.0000 2.1274 2.1274
N 2.1274 0.0000 2.1274
N 2.1274 2.1274 0.0000
```

Values from the calculation:
The space-group type is Pm-3m.

***

The following energy relative to the elements, uncorrected values (in eV/atom) correspond, in order, to the records above: 1.553, 2.220.
The following M_tot values (in μB per formula unit) correspond, in order, to the records above: 3.1, 0.0.